Record 1
4
Lattice="-0.2039 2.8945 -4.0095 -2.9181 -1.2390 -3.8007 -4.0826 2.6329 -0.9463" Properties=species:S:1:pos:R:3 comment="TlFeSe2, relaxed, DFT PBE" crystal_system=cubic space_group="F-43m (216)" pbc="T T T"
Tl -1.8012 1.0721 -2.1891
Fe -3.6023 2.1442 -4.3783
Se -5.4035 3.2163 -6.5674
Se 0.0000 0.0000 0.0000



Record 2
4
Lattice="5.0410 0.0000 0.0000 0.0000 5.0410 0.0000 0.0000 0.0000 3.4200" Properties=species:S:1:pos:R:3 comment="TlFeSe2, relaxed, DFT PBE" crystal_system=tetragonal space_group="P4/mmm (123)" pbc="T T T"
Fe 0.0000 2.5205 1.7100
Tl 2.5205 0.0000 1.7100
Se 2.5205 2.5205 0.0000
Se 0.0000 0.0000 0.0000



Record 3
9
Lattice="3.8986 0.0000 0.9721 1.3693 7.3516 2.8121 -0.0794 0.0142 8.6220" Properties=species:S:1:pos:R:3 comment="Tl3Fe2Se4, relaxed, DFT PBE" crystal_system=monoclinic space_group="C2/m (12)" pbc="T T T"
Tl 3.1009 3.4553 4.1712
Tl 0.0000 0.0000 0.0000
Se 3.6416 5.5836 10.3061
Se 1.5468 1.7822 2.1001
Se 4.5445 6.0059 6.6851
Fe 1.1507 0.0665 3.6887
Tl 2.0876 3.9104 8.2350
Se 0.6439 1.3598 5.7211
Fe 4.0377 7.2992 8.7176



Record 4
4
Lattice="5.5041 0.0512 0.0000 2.7958 4.7415 0.0000 -4.1500 -2.3963 2.7080" Properties=species:S:1:pos:R:3 comment="TlFe2Se, relaxed, DFT PBE" crystal_system=tetragonal space_group="I-4m2 (119)" pbc="T T T"
Se 4.1500 2.3963 0.0000
Fe 0.0000 0.0000 0.0000
Fe 1.3979 2.3707 1.3540
Tl 2.7521 0.0256 1.3540



Record 5
4
Lattice="-3.7642 -0.0762 1.9437 -3.1765 -2.2875 -1.6218 -0.7204 -5.1274 3.0612" Properties=species:S:1:pos:R:3 comment="TlFe2Se, relaxed, DFT PBE" crystal_system=monoclinic space_group="C2/m (12)" pbc="T T T"
Fe -4.2519 -2.6003 0.9118
Se -1.9153 -1.8728 0.8458
Tl -5.7459 -5.6183 2.5373
Fe -6.5194 -3.5089 1.1016



Record 6
4
Lattice="7.8270 0.1947 0.0000 5.8199 5.2372 0.0000 -6.8235 -2.7160 2.7136" Properties=species:S:1:pos:R:3 comment="TlFeSe2, relaxed, DFT PBE" crystal_system=tetragonal space_group="I-4m2 (119)" pbc="T T T"
Fe 3.9135 0.0974 1.3568
Tl 6.8235 2.7160 0.0000
Se 0.0000 0.0000 0.0000
Se 2.9100 2.6186 1.3568



Record 7
8
Lattice="-0.3722 2.0394 -6.3482 -0.6769 -3.2163 -5.8133 -6.4571 0.0865 -2.8282" Properties=species:S:1:pos:R:3 comment="TlFeSe2, relaxed, DFT PBE" crystal_system=monoclinic space_group="C2/m (12)" pbc="T T T"
Fe -0.4480 0.7312 -6.2150
Se -1.3272 -0.9769 -10.3551
Se -6.1790 -0.1134 -4.6346
Fe -0.6011 -1.9081 -5.9464
Tl -4.9269 -0.9070 -11.7188
Se -5.1724 -0.5748 -8.5950
Tl -2.5793 -0.1833 -3.2708
Se -2.3338 -0.5155 -6.3947



Record 8
4
Lattice="-2.2262 1.7247 1.0449 -0.6705 -2.1026 2.0376 5.9468 3.9936 6.0777" Properties=species:S:1:pos:R:3 comment="TlFeSe2, relaxed, DFT PBE" crystal_system=tetragonal space_group="P4mm (99)" pbc="T T T"
Tl 3.1975 2.1473 3.2679
Se 0.1009 0.8514 3.1246
Se 5.4116 3.6342 5.5308
Fe 3.2603 2.9731 6.3536



| no. | DOS(E_F) (states/eV/f.u.) | E_form (uncorrected) (eV/atom) |
| --- | --- | --- |
| 1 | 5.9 | 0.603 |
| 2 | 5.7 | 0.419 |
| 3 | 4.4 | -0.277 |
| 4 | 4.5 | 0.573 |
| 5 | 1.1 | 0.202 |
| 6 | 4.5 | 0.327 |
| 7 | 2.4 | -0.271 |
| 8 | 2.1 | 0.211 |